1.
DFT (PBE-GGA) results for an optimized crystal structure of PmNd2Rh3.

Cell lengths 5.003, 5.003, 6.115 Å; angles 90.00, 90.00, 120.00 degrees
Atoms (fractional coordinates):
Pm (0.000, 0.000, 0.000)
Nd (0.333, 0.667, 0.667)
Nd (0.667, 0.333, 0.333)
Rh (0.000, 0.000, 0.500)
Rh (0.333, 0.667, 0.165)
Rh (0.667, 0.333, 0.835)



2.
DFT (PBE-GGA) results for an optimized crystal structure of LuTiV4.

Cell lengths 5.201, 5.201, 5.201 Å; angles 60.00, 60.00, 60.00 degrees
Atoms (fractional coordinates):
Lu (0.000, 0.000, 0.000)
Ti (0.750, 0.750, 0.750)
V (0.375, 0.375, 0.375)
V (0.375, 0.375, 0.875)
V (0.375, 0.875, 0.375)
V (0.875, 0.375, 0.375)



3.
DFT (PBE-GGA) results for an optimized crystal structure of AgHg2Rh.

Cell lengths 3.096, 3.883, 6.168 Å; angles 90.00, 90.00, 90.00 degrees
Atoms (fractional coordinates):
Ag (0.000, 0.000, 0.000)
Hg (0.500, 0.500, 0.261)
Hg (0.500, 0.500, 0.739)
Rh (0.000, 0.000, 0.500)



Q: Which density values were calculated for the entries above? A: 9.3 7.1 13.7, in g/cm3.
Q: Which magnetization values were calculated for the entries above? A: 0.00 0.58 0.00, in μB per atom.
Q: Which formation energy from the elements values were calculated for the entries above? A: -0.657 0.236 0.137, in eV/atom.